# 1
First-principles (GGA-PBE) data for ReRu2Cl after structural relaxation, as listed in the Alexandria database.

Raw formation energy: 0.497 eV/atom
SG: C2/m, No. 12
Magnetic moment: 0.000 μB per atom

a = 4.0031 Å, b = 4.0031 Å, c = 7.7858 Å
α = 64.76°, β = 64.76°, γ = 41.28°
Sites, in units of the cell vectors:
Ru 0.4212 0.4212 0.4450
Ru 0.0788 0.0788 0.0550
Cl 0.7500 0.7500 0.7500
Re 0.2500 0.2500 0.2500

***

# 2
First-principles (GGA-PBE) data for LaGe2Ru after structural relaxation, as listed in the Alexandria database.

SG: Fm-3m, No. 225
Energy of formation: -0.287 eV per atom
Magnetic moment: 0.000 μB per atom

a = 4.7791 Å, b = 4.7791 Å, c = 4.7791 Å
α = 60.00°, β = 60.00°, γ = 60.00°
Sites, in units of the cell vectors:
Ge 0.2500 0.2500 0.2500
Ge 0.7500 0.7500 0.7500
La 0.5000 0.5000 0.5000
Ru 0.0000 0.0000 0.0000

***

# 3
First-principles (GGA-PBE) data for V5Co2RuRh2 after structural relaxation, as listed in the Alexandria database.

SG: P4/mbm, No. 127
Energy of formation: -0.002 eV per atom
Magnetic moment: 0.000 μB per atom

a = 2.9773 Å, b = 9.5446 Å, c = 9.5446 Å
α = 90.00°, β = 90.00°, γ = 90.00°
Sites, in units of the cell vectors:
V 0.5000 0.4249 0.3032
V 0.5000 0.5751 0.6968
V 0.5000 0.6968 0.4249
V 0.5000 0.8032 0.9249
V 0.5000 0.0000 0.5000
V 0.5000 0.9249 0.1968
V 0.5000 0.5000 0.0000
V 0.5000 0.1968 0.0751
V 0.5000 0.0751 0.8032
V 0.5000 0.3032 0.5751
Co 0.0000 0.6288 0.8712
Co 0.0000 0.1288 0.6288
Co 0.0000 0.8712 0.3712
Co 0.0000 0.3712 0.1288
Ru 0.0000 0.0000 0.0000
Ru 0.0000 0.5000 0.5000
Rh 0.0000 0.8294 0.6706
Rh 0.0000 0.1706 0.3293
Rh 0.0000 0.6706 0.1706
Rh 0.0000 0.3293 0.8294

***

# 4
First-principles (GGA-PBE) data for PrAlZnCu2 after structural relaxation, as listed in the Alexandria database.

SG: I-4m2, No. 119
Energy of formation: -0.300 eV per atom
Magnetic moment: 0.000 μB per atom

a = 4.0721 Å, b = 4.0721 Å, c = 6.2308 Å
α = 109.07°, β = 109.07°, γ = 90.00°
Sites, in units of the cell vectors:
Pr 0.0000 0.0000 0.0000
Cu 0.3871 0.3871 0.7742
Cu 0.6129 0.6129 0.2258
Al 0.7500 0.2500 0.5000
Zn 0.2500 0.7500 0.5000

***

# 5
First-principles (GGA-PBE) data for VPt3Rh2 after structural relaxation, as listed in the Alexandria database.

SG: C2/m, No. 12
Energy of formation: -0.143 eV per atom
Magnetic moment: 0.000 μB per atom

a = 2.7328 Å, b = 6.9591 Å, c = 10.1000 Å
α = 77.50°, β = 82.22°, γ = 78.68°
Sites, in units of the cell vectors:
Rh 0.1761 0.5296 0.1183
Rh 0.8239 0.4704 0.8817
Rh 0.6287 0.2044 0.5382
Rh 0.3713 0.7956 0.4618
Pt 0.6074 0.8258 0.9593
Pt 0.9558 0.8667 0.2218
Pt 0.2449 0.1990 0.3112
Pt 0.7551 0.8010 0.6888
Pt 0.3926 0.1742 0.0407
Pt 0.0442 0.1333 0.7782
V 0.4325 0.4760 0.6590
V 0.5675 0.5240 0.3410

***

# 6
First-principles (GGA-PBE) data for MnSiGe2 after structural relaxation, as listed in the Alexandria database.

Raw formation energy: 0.421 eV/atom
SG: I-42d, No. 122
Magnetic moment: 0.748 μB per atom

a = 5.8229 Å, b = 5.8229 Å, c = 6.6776 Å
α = 64.15°, β = 64.15°, γ = 90.00°
Sites, in units of the cell vectors:
Si 0.2500 0.7500 0.5000
Si 0.5000 0.5000 0.0000
Ge 0.3750 0.3816 0.7500
Ge 0.8750 0.8684 0.7500
Ge 0.6184 0.1250 0.2500
Ge 0.1316 0.6250 0.2500
Mn 0.7500 0.2500 0.5000
Mn 0.0000 0.0000 0.0000

***

# 7
First-principles (GGA-PBE) data for SrTb2Pm3Se6 after structural relaxation, as listed in the Alexandria database.

Raw formation energy: -1.829 eV/atom
SG: C2/m, No. 12
Magnetic moment: 0.000 μB per atom

a = 7.2412 Å, b = 7.2412 Å, c = 7.3080 Å
α = 99.48°, β = 99.48°, γ = 120.07°
Sites, in units of the cell vectors:
Se 0.5745 0.9175 0.7515
Se 0.2622 0.2622 0.7594
Se 0.0825 0.4255 0.2485
Se 0.9175 0.5745 0.7515
Se 0.7378 0.7378 0.2406
Se 0.4255 0.0825 0.2485
Tb 0.6667 0.3333 0.0000
Tb 0.3333 0.6667 0.0000
Pm 0.5000 0.5000 0.5000
Pm 0.1603 0.8397 0.5000
Pm 0.8397 0.1603 0.5000
Sr 0.0000 0.0000 0.0000

***

# 8
First-principles (GGA-PBE) data for ZrCu2Sb after structural relaxation, as listed in the Alexandria database.

Raw formation energy: -0.234 eV/atom
SG: P4/mmm, No. 123
Magnetic moment: 0.000 μB per atom

a = 4.0992 Å, b = 4.0991 Å, c = 4.1239 Å
α = 90.00°, β = 90.00°, γ = 90.00°
Sites, in units of the cell vectors:
Zr 0.0000 0.5000 0.5000
Sb 0.5000 0.0000 0.5000
Cu 0.0000 0.0000 0.0000
Cu 0.5000 0.5000 0.0000

***

# 9
First-principles (GGA-PBE) data for Ho4ZrSc5 after structural relaxation, as listed in the Alexandria database.

SG: I4mm, No. 107
Energy of formation: 0.219 eV per atom
Magnetic moment: 0.000 μB per atom

a = 5.5265 Å, b = 7.6207 Å, c = 7.6207 Å
α = 82.45°, β = 68.74°, γ = 68.74°
Sites, in units of the cell vectors:
Zr 0.2156 0.0000 0.0000
Sc 0.1433 0.0000 0.6295
Sc 0.1433 0.6295 0.0000
Sc 0.6899 0.0000 0.0000
Sc 0.7727 0.0000 0.3705
Sc 0.7728 0.3705 0.0000
Ho 0.4432 0.3184 0.6816
Ho 0.7616 0.6816 0.6816
Ho 0.1248 0.3184 0.3184
Ho 0.4432 0.6816 0.3184

***

# 10
First-principles (GGA-PBE) data for B5C after structural relaxation, as listed in the Alexandria database.

SG: C2/m, No. 12
Energy of formation: 0.339 eV per atom
Magnetic moment: 0.000 μB per atom

a = 7.5980 Å, b = 7.5980 Å, c = 4.2156 Å
α = 97.08°, β = 97.08°, γ = 19.81°
Sites, in units of the cell vectors:
C 0.5845 0.5845 0.0662
C 0.9989 0.9989 0.4754
B 0.6673 0.6673 0.3719
B 0.3419 0.3419 0.6850
B 0.6569 0.6569 0.8116
B 0.2464 0.2464 0.3873
B 0.9264 0.9264 0.7301
B 0.0237 0.0237 0.0585
B 0.3369 0.3369 0.1543
B 0.2415 0.2415 0.8567
B 0.9160 0.9160 0.1698
B 0.5597 0.5597 0.4831

***

# 11
First-principles (GGA-PBE) data for ErUCo4 after structural relaxation, as listed in the Alexandria database.

SG: C2/m, No. 12
Energy of formation: -0.126 eV per atom
Magnetic moment: 0.001 μB per atom

a = 6.8473 Å, b = 6.0290 Å, c = 5.6609 Å
α = 122.18°, β = 71.15°, γ = 90.00°
Sites, in units of the cell vectors:
Co 0.0000 0.2017 0.0000
Co 0.5767 0.8926 0.2112
Co 0.5767 0.3186 0.2112
Co 0.0000 0.7983 0.0000
Co 0.7503 0.2392 0.4784
Co 0.4233 0.6814 0.7888
Co 0.4233 0.1074 0.7888
Co 0.2497 0.7608 0.5216
U 0.2455 0.5265 0.0531
U 0.7545 0.4735 0.9469
Er 0.8069 0.8039 0.6079
Er 0.1931 0.1961 0.3921

***

# 12
First-principles (GGA-PBE) data for Rb3NaTc after structural relaxation, as listed in the Alexandria database.

SG: Pm-3m, No. 221
Energy of formation: 1.251 eV per atom
Magnetic moment: 0.008 μB per atom

a = 6.3725 Å, b = 6.3725 Å, c = 6.3725 Å
α = 90.00°, β = 90.00°, γ = 90.00°
Sites, in units of the cell vectors:
Rb 0.0000 0.5000 0.0000
Rb 0.5000 0.0000 0.0000
Rb 0.0000 0.0000 0.5000
Na 0.5000 0.5000 0.5000
Tc 0.0000 0.0000 0.0000